# 1
CaAgAsS4 | PBE | relaxed

* space-group type: Imma, No. 74
* raw formation energy: -0.505 eV/atom

Lattice parameters (Å, degrees): 7.235 7.711 7.711 73.62 62.02 62.02
Sites, in units of the cell vectors:
1 S 0.711 0.331 0.247
2 S 0.244 0.238 0.738
3 S 0.756 0.762 0.262
4 S 0.289 0.253 0.169
5 S 0.221 0.762 0.262
6 S 0.711 0.747 0.831
7 S 0.779 0.238 0.738
8 S 0.289 0.669 0.753
9 Ag 0.500 0.000 0.500
10 Ag 0.000 0.000 0.500
11 As 0.615 0.635 0.135
12 As 0.385 0.365 0.865
13 Ca 0.000 0.000 0.000
14 Ca 0.000 0.500 0.500

=====

# 2
CaAgAs2Se | PBE | relaxed

* space-group type: P4/mmm, No. 123
* energy relative to the lowest polymorph listed for this composition: 0.00 kJ per mole of atoms
* raw formation energy: 0.059 eV/atom

Lattice parameters (Å, degrees): 4.986 4.986 5.281 90.00 90.00 90.00
Sites, in units of the cell vectors:
1 Ca 0.500 0.500 0.500
2 As 0.000 0.500 0.000
3 As 0.500 0.000 0.000
4 Ag 0.000 0.000 0.000
5 Se 0.000 0.000 0.500

=====

# 3
CaAgAs2Se | PBE | relaxed

* space-group type: P4/mmm, No. 123
* energy relative to the lowest polymorph listed for this composition: 54.68 kJ per mole of atoms
* raw formation energy: 0.626 eV/atom

Lattice parameters (Å, degrees): 5.401 5.401 5.338 90.00 90.00 90.00
Sites, in units of the cell vectors:
1 Se 0.000 0.000 0.500
2 As 0.000 0.500 0.000
3 As 0.500 0.000 0.000
4 Ca 0.000 0.000 0.000
5 Ag 0.500 0.500 0.500

=====

# 4
CaAgAsSe2 | PBE | relaxed

* space-group type: P4/mmm, No. 123
* energy relative to the lowest polymorph listed for this composition: 49.89 kJ per mole of atoms
* raw formation energy: 0.392 eV/atom

Lattice parameters (Å, degrees): 5.410 5.410 5.412 90.00 90.00 90.00
Sites, in units of the cell vectors:
1 Se 0.500 0.000 0.000
2 Se 0.000 0.500 0.000
3 Ag 0.500 0.500 0.500
4 Ca 0.000 0.000 0.000
5 As 0.000 0.000 0.500

=====

# 5
CaAgAsSe2 | PBE | relaxed

* space-group type: P4/mmm, No. 123
* energy relative to the lowest polymorph listed for this composition: 0.00 kJ per mole of atoms
* raw formation energy: -0.125 eV/atom

Lattice parameters (Å, degrees): 5.233 5.233 4.857 90.00 90.00 90.00
Sites, in units of the cell vectors:
1 Se 0.000 0.500 0.000
2 Se 0.500 0.000 0.000
3 Ca 0.500 0.500 0.500
4 Ag 0.000 0.000 0.000
5 As 0.000 0.000 0.500

=====

# 6
CaAg2AsSe | PBE | relaxed

* space-group type: P4/mmm, No. 123
* raw formation energy: -0.187 eV/atom

Lattice parameters (Å, degrees): 4.841 5.735 4.841 90.00 90.00 90.00
Sites, in units of the cell vectors:
1 Ag 0.000 0.000 0.500
2 Ag 0.500 0.000 0.000
3 Ca 0.500 0.500 0.500
4 Se 0.000 0.500 0.000
5 As 0.000 0.000 0.000

=====

# 7
CaSiAgAs2 | PBE | relaxed

* space-group type: P4/mmm, No. 123
* energy relative to the lowest polymorph listed for this composition: 99.61 kJ per mole of atoms
* raw formation energy: 1.053 eV/atom

Lattice parameters (Å, degrees): 5.327 5.327 5.327 90.00 90.00 90.00
Each line ends with the local moment (μB).
Sites, in units of the cell vectors:
1 As 0.000 0.000 0.500  -0.04
2 As 0.500 0.000 0.000  0.02
3 Ca 0.000 0.000 0.000  0.08
4 Si 0.000 0.500 0.000  0.19
5 Ag 0.500 0.500 0.500  0.01

=====

# 8
CaSiAgAs2 | PBE | relaxed

* space-group type: P4/mmm, No. 123
* energy relative to the lowest polymorph listed for this composition: 0.00 kJ per mole of atoms
* raw formation energy: 0.021 eV/atom

Lattice parameters (Å, degrees): 4.954 4.773 4.954 90.00 90.00 90.00
Sites, in units of the cell vectors:
1 As 0.500 0.000 0.000
2 As 0.000 0.000 0.500
3 Si 0.000 0.000 0.000
4 Ca 0.500 0.500 0.500
5 Ag 0.000 0.500 0.000

=====

# 9
SrCaAgAs | PBE | relaxed

* space-group type: F-43m, No. 216
* energy relative to the elements: -710.8 meV/atom

Lattice parameters (Å, degrees): 5.316 5.316 5.316 60.00 60.00 60.00
Sites, in units of the cell vectors:
1 Ag 0.250 0.250 0.250
2 Sr 0.500 0.500 0.500
3 Ca 0.000 0.000 0.000
4 As 0.750 0.750 0.750

=====

# 10
CaTa2AgAs | PBE | relaxed

* space-group type: P4/mmm, No. 123
* energy relative to the elements: 1400.7 meV/atom

Lattice parameters (Å, degrees): 4.968 5.351 4.968 90.00 90.00 90.00
Each line ends with the local moment (μB).
Sites, in units of the cell vectors:
1 Ta 0.000 0.000 0.500  0.47
2 Ta 0.500 0.000 0.000  0.67
3 Ca 0.000 0.500 0.000  0.01
4 Ag 0.000 0.000 0.000  0.02
5 As 0.500 0.500 0.500  -0.06

=====

# 11
CaTcAgAs2 | PBE | relaxed

* space-group type: P4/mmm, No. 123
* energy relative to the elements: 171.8 meV/atom

Lattice parameters (Å, degrees): 4.740 5.655 4.740 90.00 90.00 90.00
Sites, in units of the cell vectors:
1 As 0.000 0.000 0.500
2 As 0.500 0.000 0.000
3 Tc 0.000 0.000 0.000
4 Ca 0.000 0.500 0.000
5 Ag 0.500 0.500 0.500

=====

# 12
Ca3U2AgAs6 | PBE | relaxed

* space-group type: C2/m, No. 12
* energy relative to the elements: -768.0 meV/atom

Lattice parameters (Å, degrees): 7.154 7.154 7.197 99.46 99.46 119.94
Each line ends with the local moment (μB).
Sites, in units of the cell vectors:
1 Ca 0.160 0.840 0.500  -0.01
2 Ca 0.840 0.160 0.500  -0.01
3 Ca 0.500 0.500 0.500  -0.01
4 U 0.668 0.332 0.000  0.75
5 U 0.332 0.668 0.000  0.75
6 As 0.924 0.574 0.771  -0.04
7 As 0.426 0.076 0.229  -0.04
8 As 0.574 0.924 0.771  -0.04
9 As 0.076 0.426 0.229  -0.04
10 As 0.273 0.273 0.772  -0.04
11 As 0.727 0.727 0.228  -0.04
12 Ag 0.000 0.000 0.000  -0.03

=====

DOS(E_F) (computed, states/eV/atom): 0.15 0.79 0.76 1.11 0.74 0.35 0.78 0.68 0.03 0.98 0.91 0.49
Energy (computed, eV/atom): -4.221 -3.468 -2.902 -2.903 -3.420 -3.355 -2.862 -3.894 -3.507 -5.241 -4.732 -5.712
Spin magnetization (computed, μB/atom): 0.00 0.00 0.00 0.00 0.00 0.00 0.13 0.00 0.00 0.32 0.00 0.08